Compound: BaGe2RuPb
Source: the Alexandria database
Functional: SCAN
Structure: PBEsol geometry

Lattice parameters (Å, degrees): 4.9679 5.6140 5.6140 90.00 90.00 90.00
Element x y z (fractional)
Pb 0.5000 0.5000 0.5000
Ru 0.5000 0.0000 0.0000
Ge 0.0000 0.0000 0.5000
Ge 0.0000 0.5000 0.0000
Ba 0.0000 0.0000 0.0000

Energy of formation from the pure elements, kcal/mol of atoms: 40.7

***

Compound: La5Ag
Source: the Alexandria database
Functional: SCAN
Structure: PBEsol geometry

Lattice parameters (Å, degrees): 6.4462 6.4462 6.4462 60.00 60.00 60.00
Element x y z (fractional)
Ag 0.0000 0.0000 0.0000
La 0.3737 0.3737 0.3737
La 0.7500 0.7500 0.7500
La 0.8789 0.3737 0.3737
La 0.3737 0.8789 0.3737
La 0.3737 0.3737 0.8789

Energy above the most stable polymorph in this dataset, meV per atom: 431
Energy of formation from the pure elements, kcal/mol of atoms: 7.9